Entry 1:
DFT (PBE-GGA) results for Ti2AlSiW after structural relaxation.

```
Ti2AlSiW
1.0
-1.266 4.013 1.796
-3.657 0.017 -2.617
-2.342 -2.197 3.259
W Si Ti Al
1 1 2 1
Cartesian
-1.829 0.009 -1.309
0.000 0.000 0.000
-0.633 2.007 0.898
-1.171 -1.099 1.629
-3.633 0.917 1.219
```

Computed properties:
The value obtained for the uncorrected formation energy is 485 meV/atom. For the total energy, the calculation gives -7.0966 eV per atom.

Entry 2:
DFT (PBE-GGA) results for LaPr2Cl8 after structural relaxation.

```
LaPr2Cl8
1.0
-1.360 -3.082 -4.286
-0.249 -5.343 5.455
-6.163 4.509 0.247
Cl La Pr
8 1 2
Cartesian
-2.095 0.852 0.084
-4.533 -1.536 2.242
-3.238 -2.380 -0.825
-5.464 0.671 -0.681
-5.676 -4.768 1.332
-0.583 -1.667 1.415
-2.308 -4.587 2.098
-7.188 -2.249 0.001
-0.680 -1.541 -2.143
-2.132 -2.206 3.797
-4.279 1.372 1.906
```

Computed properties:
The value obtained for the uncorrected formation energy is -2132 meV/atom. For the total energy, the calculation gives -4.7915 eV per atom.

Entry 3:
DFT (PBE-GGA) results for Li2CaTa after structural relaxation.

```
Li2CaTa
1.0
-2.832 -1.634 3.603
2.221 -1.186 1.208
1.375 5.093 3.390
Li Ca Ta
2 1 1
Cartesian
1.912 -0.766 1.155
2.107 1.535 2.351
1.281 2.114 5.250
-0.517 0.160 2.951
```

Computed properties:
For the total energy, the calculation gives -3.8460 eV per atom. For the formation energy, the calculation gives 0.574 eV/atom. As for the offset from the most stable computed form: 125 meV/atom.

Entry 4:
DFT (PBE-GGA) results for SnBiPb after structural relaxation.

```
SnBiPb
1.0
-2.386 0.452 2.172
0.466 -3.016 1.140
7.079 4.514 4.393
Pb Sn Bi
1 1 1
Cartesian
1.465 0.774 1.449
4.529 1.617 7.083
2.487 0.539 5.064
```

Computed properties:
For the total energy, the calculation gives -3.7238 eV per atom. For the formation energy, the calculation gives 0.140 eV/atom. As for the offset from the most stable computed form: 93 meV/atom.